Record 1
Density functional theory data (GGA-PBE) for crystalline Nd2Pd5Pt2Au at its relaxed geometry.

As for the energy: -5.732 eV per atom. The calculation puts the formation energy from the elements at -62.30 kJ per mole of atoms.

The space group is P4/mbm (No. 127) and the conventional cell measures 9.574, 9.574 and 4.191 Å, with angles of 90.00, 90.00 and 90.00 degrees. The inequivalent atoms are Nd at (0.173, 0.327, 0.000), Pd at (0.000, 0.500, 0.500), Pd at (0.065, 0.799, 0.500), Pt at (0.124, 0.624, 0.000) and Au at (0.000, 0.000, 0.000).

Record 2
Density functional theory data (GGA-PBE) for crystalline Ca2La2Ge at its relaxed geometry.

As for the energy: -3.740 eV per atom. The calculation puts the formation energy from the elements at -4.34 kJ per mole of atoms. The energy above the most stable polymorph in this dataset is 0 meV per atom.

The space group is P4/mbm (No. 127) and the conventional cell measures 7.886, 7.886 and 5.820 Å, with angles of 90.00, 90.00 and 90.00 degrees. The inequivalent atoms are Ca at (0.170, 0.330, 0.000), La at (0.138, 0.638, 0.500) and Ge at (0.000, 0.000, 0.500).

Record 3
Density functional theory data (GGA-PBE) for crystalline Mg2CdBi at its relaxed geometry.

As for the energy: -1.996 eV per atom. The calculation puts the formation energy from the elements at 0.01 kJ per mole of atoms. The energy above the most stable polymorph in this dataset is 101 meV per atom.

The space group is C2/m (No. 12) and the conventional cell measures 10.320, 6.290 and 7.504 Å, with angles of 90.00, 111.76 and 90.00 degrees. The inequivalent atoms are Mg at (0.000, 0.241, 0.000), Mg at (0.109, 0.000, 0.406), Cd at (0.207, 0.000, 0.880) and Bi at (0.091, 0.500, 0.355).

Record 4
Density functional theory data (GGA-PBE) for crystalline Sm8HgSb5 at its relaxed geometry.

As for the energy: -5.123 eV per atom. The calculation puts the formation energy (no corrections) at -933 meV per atom.

The space group is I-4 (No. 82) and the conventional cell measures 9.364, 9.364 and 9.453 Å, with angles of 90.00, 90.00 and 90.00 degrees. The inequivalent atoms are Sm at (0.070, 0.322, 0.054), Sm at (0.074, 0.179, 0.695), Hg at (0.000, 0.000, 0.000), Sb at (0.000, 0.500, 0.750) and Sb at (0.124, 0.249, 0.375).

Record 5
Density functional theory data (GGA-PBE) for crystalline Sr3HfP2N6 at its relaxed geometry.

As for the energy: -7.322 eV per atom. The calculation puts the formation energy (no corrections) at -1008 meV per atom.

The space group is P-3m1 (No. 164) and the conventional cell measures 5.7178, 5.7178 and 6.6588 Å, with angles of 90.00, 90.00 and 120.00 degrees. The inequivalent atoms are Sr at (0.0000, 0.0000, 0.0000), Sr at (0.3333, 0.6667, 0.6778), Hf at (0.0000, 0.0000, 0.5000), P at (0.3333, 0.6667, 0.2339) and N at (0.1755, 0.3510, 0.3031).

Record 6
Density functional theory data (GGA-PBE) for crystalline Er2TmReO8 at its relaxed geometry.

As for the energy: -8.302 eV per atom. The calculation puts the formation energy (no corrections) at -2826 meV per atom.

The space group is Cmmm (No. 65) and the conventional cell measures 7.022, 7.128 and 6.662 Å, with angles of 90.00, 90.00 and 90.00 degrees. The inequivalent atoms are Er at (0.000, 0.000, 0.247), Tm at (0.000, 0.500, 0.000), Re at (0.000, 0.500, 0.500), O at (0.000, 0.318, 0.290), O at (0.195, 0.000, 0.000) and O at (0.229, 0.000, 0.500).

Record 7
Density functional theory data (GGA-PBE) for crystalline ScNb3Sn at its relaxed geometry.

As for the energy: -6.787 eV per atom. The calculation puts the formation energy from the elements at 127.50 kJ per mole of atoms. The energy above the most stable polymorph in this dataset is 0 meV per atom.

The space group is Pm-3m (No. 221) and the conventional cell measures 4.776, 4.776 and 4.776 Å, with angles of 90.00, 90.00 and 90.00 degrees. The inequivalent atoms are Sc at (0.000, 0.000, 0.000), Nb at (0.000, 0.000, 0.500) and Sn at (0.500, 0.500, 0.500).

Record 8
Density functional theory data (GGA-PBE) for crystalline Nd2YTmSe6 at its relaxed geometry.

As for the energy: -5.982 eV per atom. The calculation puts the formation energy (no corrections) at -1844 meV per atom.

The space group is R3 (No. 146, hexagonal axes) and the conventional cell measures 7.3319, 7.3319 and 19.4973 Å, with angles of 90.00, 90.00 and 120.00 degrees. The inequivalent atoms are Nd at (0.0000, 0.0000, 0.0000), Nd at (0.0000, 0.0000, 0.4996), Y at (0.0000, 0.0000, 0.2007), Tm at (0.0000, 0.0000, 0.7000), Se at (0.0422, 0.6900, 0.7716) and Se at (0.0443, 0.3574, 0.2725).